1.
The following is a GGA-PBE calculation of a geometry-optimized CoRePt6 structure, from Alexandria via LeMat-Bulk.

a = 3.9368 Å, b = 3.9368 Å, c = 7.7645 Å
α = 90.00°, β = 90.00°, γ = 90.00°
Sites, in units of the cell vectors:
Co: 0.0000 0.0000 0.0000
Re: 0.0000 0.0000 0.5000
Pt: 0.0000 0.5000 0.2494
Pt: 0.0000 0.5000 0.7506
Pt: 0.5000 0.0000 0.2494
Pt: 0.5000 0.0000 0.7506
Pt: 0.5000 0.5000 0.0000
Pt: 0.5000 0.5000 0.5000

Calculated values
Total moment = 2.17 μB/f.u.
Calculated formation energy = -0.0341 eV/atom
Energy = -56.1 eV per cell
Symmetry = P4/mmm (123)
Crystal system = tetragonal


2.
The following is a GGA-PBE calculation of a geometry-optimized Cs3LiMg2I8 structure, from Alexandria via LeMat-Bulk.

a = 8.4878 Å, b = 8.4878 Å, c = 10.8016 Å
α = 90.00°, β = 90.00°, γ = 120.00°
Sites, in units of the cell vectors:
Cs: 0.0000 0.0000 0.0000
Cs: 0.3333 0.6667 0.6241
Cs: 0.6667 0.3333 0.3759
Li: 0.0000 0.0000 0.5000
Mg: 0.3333 0.6667 0.2214
Mg: 0.6667 0.3333 0.7786
I: 0.1615 0.3231 0.3235
I: 0.1615 0.8385 0.3235
I: 0.3231 0.1615 0.6765
I: 0.3333 0.6667 0.9734
I: 0.6667 0.3333 0.0266
I: 0.6769 0.8385 0.3235
I: 0.8385 0.1615 0.6765
I: 0.8385 0.6769 0.6765

Calculated values
Total moment = 0.00 μB/f.u.
Raw formation energy = -1.271 eV/atom
Energy = -37.9 eV per cell
Symmetry = P-3m1 (164)
Crystal system = trigonal


3.
The following is a GGA-PBE calculation of a geometry-optimized Ca7TlGa5 structure, from Alexandria via LeMat-Bulk.

a = 8.2059 Å, b = 8.2059 Å, c = 8.2059 Å
α = 134.12°, β = 100.55°, γ = 96.94°
Sites, in units of the cell vectors:
Ca: 0.0000 0.0000 0.0000
Ca: 0.3054 0.6169 0.6885
Ca: 0.3666 0.3666 0.0000
Ca: 0.4204 0.0913 0.3292
Ca: 0.7621 0.0913 0.6708
Ca: 0.8549 0.3549 0.5000
Ca: 0.9284 0.6169 0.3115
Tl: 0.6848 0.6848 0.0000
Ga: 0.0920 0.0816 0.4602
Ga: 0.0920 0.6318 0.0105
Ga: 0.3495 0.8495 0.5000
Ga: 0.6214 0.0816 0.9895
Ga: 0.6214 0.6318 0.5398

Calculated values
Total moment = 0.00 μB/f.u.
Calculated formation energy = -0.2634 eV/atom
Energy = -34.9 eV per cell
Symmetry = Imm2 (44)
Crystal system = orthorhombic


4.
The following is a GGA-PBE calculation of a geometry-optimized Ba3SCl structure, from Alexandria via LeMat-Bulk.

a = 6.1430 Å, b = 6.1430 Å, c = 6.1430 Å
α = 90.00°, β = 90.00°, γ = 90.00°
Sites, in units of the cell vectors:
Ba: 0.0000 0.0000 0.5000
Ba: 0.0000 0.5000 0.0000
Ba: 0.5000 0.0000 0.0000
S: 0.0000 0.0000 0.0000
Cl: 0.5000 0.5000 0.5000

Calculated values
Total moment = 1.77 μB/f.u.
Raw formation energy = -1.038 eV/atom
Energy above the most stable polymorph in this dataset = 0 meV/atom
Energy = -16.9 eV per cell
Symmetry = Pm-3m (221)
Crystal system = cubic


5.
The following is a GGA-PBE calculation of a geometry-optimized Ti3WSe structure, from Alexandria via LeMat-Bulk.

a = 4.8096 Å, b = 4.8096 Å, c = 4.8096 Å
α = 90.00°, β = 90.00°, γ = 90.00°
Sites, in units of the cell vectors:
Ti: 0.0000 0.0000 0.5000
Ti: 0.0000 0.5000 0.0000
Ti: 0.5000 0.0000 0.0000
W: 0.0000 0.0000 0.0000
Se: 0.5000 0.5000 0.5000

Calculated values
Total moment = 2.08 μB/f.u.
Raw formation energy = 0.817 eV/atom
Energy above the most stable polymorph in this dataset = 352 meV/atom
Energy = -36.0 eV per cell
Symmetry = Pm-3m (221)
Crystal system = cubic


6.
The following is a GGA-PBE calculation of a geometry-optimized SrCaPb2 structure, from Alexandria via LeMat-Bulk.

a = 5.7951 Å, b = 5.7951 Å, c = 5.7951 Å
α = 60.00°, β = 60.00°, γ = 60.00°
Sites, in units of the cell vectors:
Sr: 0.0000 0.0000 0.0000
Ca: 0.7500 0.7500 0.7500
Pb: 0.2500 0.2500 0.2500
Pb: 0.5000 0.5000 0.5000

Calculated values
Total moment = 0.00 μB/f.u.
Calculated formation energy = -0.2268 eV/atom
Energy = -12.0 eV per cell
Symmetry = F-43m (216)
Crystal system = cubic